[1]
Lu5Ge10Ir4 (PBE, optimized geometry); DFT total energy = -6.22 eV/atom; symmetry = P4/mbm (127)
1.0
12.9510 0.0000 0.0000
0.0000 12.9510 0.0000
0.0000 0.0000 4.2689
Lu Ge Ir
10 20 8
Cartesian
0.0000 0.0000 0.0000 Lu
1.4929 4.9826 2.1345 Lu
2.2416 8.7170 2.1345 Lu
4.2339 2.2416 2.1345 Lu
4.9826 11.4581 2.1345 Lu
6.4755 6.4755 0.0000 Lu
7.9684 1.4929 2.1345 Lu
8.7170 10.7094 2.1345 Lu
10.7094 4.2339 2.1345 Lu
11.4581 7.9684 2.1345 Lu
0.1053 10.9584 2.1345 Ge
0.8634 7.3388 0.0000 Ge
1.9926 0.1053 2.1345 Ge
2.1258 2.5916 0.0000 Ge
2.5916 10.8251 0.0000 Ge
3.8839 4.3496 0.0000 Ge
4.3496 9.0671 0.0000 Ge
4.4829 6.5808 2.1345 Ge
5.6121 0.8634 0.0000 Ge
6.3702 4.4829 2.1345 Ge
6.5808 8.4680 2.1345 Ge
7.3388 12.0876 0.0000 Ge
8.4680 6.3702 2.1345 Ge
8.6013 3.8839 0.0000 Ge
9.0671 8.6013 0.0000 Ge
10.3594 2.1258 0.0000 Ge
10.8251 10.3594 0.0000 Ge
10.9584 12.8457 2.1345 Ge
12.0876 5.6121 0.0000 Ge
12.8457 1.9926 2.1345 Ge
0.2533 9.7563 0.0000 Ir
3.1947 0.2533 0.0000 Ir
3.2808 6.7288 0.0000 Ir
6.2222 3.2808 0.0000 Ir
6.7288 9.6701 0.0000 Ir
9.6701 6.2222 0.0000 Ir
9.7563 12.6976 0.0000 Ir
12.6976 3.1947 0.0000 Ir


[2]
TbErTeC (PBE, optimized geometry); DFT total energy = -6.26 eV/atom; symmetry = P6_3mc (186)
1.0
3.8238 0.0000 0.0000
-1.9119 3.3115 0.0000
0.0000 0.0000 13.9975
Tb Er Te C
2 2 2 2
Cartesian
0.0000 2.2077 0.0000 Tb
1.9119 1.1038 6.9987 Tb
0.0000 2.2077 9.6110 Er
1.9119 1.1038 2.6122 Er
0.0000 2.2077 4.7765 Te
1.9119 1.1038 11.7752 Te
0.0000 0.0000 1.3230 C
0.0000 0.0000 8.3217 C


[3]
DyNi3 (PBE, optimized geometry); symmetry = Fm-3m (225); calculated formation energy = -146 meV per atom
1.0
6.1345 0.0000 0.0000
0.0000 6.1345 0.0000
0.0000 0.0000 6.1345
Dy Ni
4 12
Cartesian
0.0000 0.0000 0.0000 Dy
0.0000 3.0673 3.0673 Dy
3.0673 0.0000 3.0673 Dy
3.0673 3.0673 0.0000 Dy
0.0000 0.0000 3.0673 Ni
0.0000 3.0673 0.0000 Ni
1.5336 1.5336 1.5336 Ni
1.5336 1.5336 4.6009 Ni
1.5336 4.6009 1.5336 Ni
1.5336 4.6009 4.6009 Ni
3.0673 0.0000 0.0000 Ni
3.0673 3.0673 3.0673 Ni
4.6009 1.5336 1.5336 Ni
4.6009 1.5336 4.6009 Ni
4.6009 4.6009 1.5336 Ni
4.6009 4.6009 4.6009 Ni


[4]
Gd2TmAl7Cu2 (PBE, optimized geometry); DFT total energy = -4.43 eV/atom; symmetry = R-3m (166)
1.0
2.7459 1.5853 8.4785
-2.7459 1.5853 8.4785
0.0000 -3.1707 8.4785
Gd Tm Al Cu
2 1 7 2
Cartesian
0.0000 0.0000 3.6040 Gd
0.0000 0.0000 21.8315 Gd
0.0000 0.0000 0.0000 Tm
-1.3969 -0.8065 10.4653 Al
0.0000 -1.6130 14.9702 Al
-1.3969 0.8065 14.9702 Al
0.0000 0.0000 12.7177 Al
1.3969 -0.8065 10.4653 Al
0.0000 1.6130 10.4653 Al
1.3969 0.8065 14.9702 Al
0.0000 0.0000 8.5293 Cu
0.0000 0.0000 16.9062 Cu


Magnetic moment? In order: 0.0 0.0 0.1 0.0 μB/cell.